## Ti4Sn2Ge (PBE)

Data for Ti4Sn2Ge after structural relaxation.

ΔH_f (0 K) ... 0.067 eV/atom
D(E_F) ... 7.4 states/eV/f.u.
Total magnetization ... 0.00 μB per formula unit
Final energy ... -6.248 eV per atom

a b c (Å): 4.568 4.568 14.555
angles (deg): 90.00 90.00 90.00
Space group I4/mmm (No. 139)
Inequivalent atoms, fractional coordinates:
Ti 0.000 0.000 0.168 [4 per cell]
Ti 0.000 0.500 0.000 [4 per cell]
Sn 0.000 0.000 0.361 [4 per cell]
Ge 0.000 0.000 0.000 [2 per cell]